Entry 1:
An optimized crystal structure of Sm2CuSn, computed with PBE.

Unit cell a=10.8104 b=10.8104 c=10.8104 alpha=18.83 beta=18.83 gamma=18.83
Closest atoms and distances in Å follow each position.
Sites, in units of the cell vectors:
Sm  0.1002  0.1002  0.1002  3 Cu 2.94, 1 Sn 3.19
Sm  0.8998  0.8998  0.8998  3 Cu 2.94, 1 Sn 3.19
Cu  0.5000  0.5000  0.5000  6 Sm 2.94
Sn  0.0000  0.0000  0.0000  2 Sm 3.19, 6 Sn 3.54

Computed properties:
D(E_F)	5.2	states/eV/cell
V	115.0	Å³/f.u.
energy	-17.1	eV for the cell shown
calculated formation energy	0.109	eV/atom



Entry 2:
An optimized crystal structure of Pm8Y2Ho, computed with PBE.

Unit cell a=9.0059 b=9.0059 c=6.8001 alpha=100.96 beta=100.96 gamma=44.48
Closest atoms and distances in Å follow each position.
Sites, in units of the cell vectors:
Pm  0.0930  0.0930  0.9204  1 Y 3.44, 8 Pm 3.49-3.82, 2 Ho 3.83
Pm  0.1485  0.6790  0.5931  3 Pm 3.20-3.43, 2 Y 3.33-3.50, 1 Ho 3.37
Pm  0.3038  0.3038  0.2009  4 Y 3.40-3.68, 3 Pm 3.43-3.64, 1 Ho 3.79
Pm  0.3210  0.8515  0.4069  3 Pm 3.20-3.43, 2 Y 3.33-3.50, 1 Ho 3.37
Pm  0.6790  0.1485  0.5931  3 Pm 3.20-3.43, 2 Y 3.33-3.50, 1 Ho 3.37
Pm  0.6962  0.6962  0.7991  4 Y 3.40-3.68, 3 Pm 3.43-3.64, 1 Ho 3.79
Pm  0.8515  0.3210  0.4069  3 Pm 3.20-3.43, 2 Y 3.33-3.50, 1 Ho 3.37
Pm  0.9070  0.9070  0.0796  1 Y 3.44, 8 Pm 3.49-3.82, 2 Ho 3.83
Y  0.2585  0.2585  0.6895  9 Pm 3.33-3.68
Y  0.7415  0.7415  0.3105  9 Pm 3.33-3.68
Ho  0.5000  0.5000  0.0000  4 Pm 3.37

Computed properties:
D(E_F)	18.8	states/eV/cell
V	378.2	Å³/f.u.
energy	-53.7	eV for the cell shown
calculated formation energy	0.163	eV/atom



Entry 3:
An optimized crystal structure of Hf3MoBr, computed with PBE.

Unit cell a=5.0975 b=5.0975 c=5.0975 alpha=90.00 beta=90.00 gamma=90.00
Closest atoms and distances in Å follow each position.
Sites, in units of the cell vectors:
Hf  0.0000  0.0000  0.5000  2 Mo 2.55
Hf  0.0000  0.5000  0.0000  2 Mo 2.55
Hf  0.5000  0.0000  0.0000  2 Mo 2.55
Mo  0.0000  0.0000  0.0000  6 Hf 2.55
Br  0.5000  0.5000  0.5000  12 Hf 3.60

Computed properties:
D(E_F)	7.2	states/eV/cell
formation energy without anion corrections	0.796	eV/atom
V	132.5	Å³/f.u.
energy	-38.4	eV for the cell shown